(1)
Here is DyErInOs after structural relaxation from Alexandria. Energies are from PBE.

abc: 3.416 3.416 7.981
angles: 90.00 90.00 90.00
Fractional coordinates of all 4 atoms:
Er (0.500, 0.500, 0.365)
Os (0.000, 0.000, 0.568)
Dy (0.500, 0.500, 0.777)
In (0.000, 0.000, 0.074)

## Properties
energy above the most stable polymorph in this dataset = 0.0 meV per atom
space group = No. 99
calculated total energy = -24.66 eV per cell

***

(2)
Here is Ba3TlHg2 after structural relaxation from Alexandria. Energies are from PBE.

abc: 4.263 5.984 9.435
angles: 108.49 90.00 90.00
Fractional coordinates of all 6 atoms:
Tl (0.000, 0.000, 0.000)
Ba (0.500, 0.831, 0.662)
Ba (0.500, 0.169, 0.338)
Ba (0.500, 0.500, 0.000)
Hg (0.000, 0.663, 0.327)
Hg (0.000, 0.337, 0.673)

## Properties
space group = No. 65
calculated total energy = -11.69 eV per cell

***

(3)
Here is ZrAs2Cl after structural relaxation from Alexandria. Energies are from PBE.

abc: 5.236 3.829 3.829
angles: 90.00 90.00 90.00
Fractional coordinates of all 4 atoms:
As (0.000, 0.000, 0.000)
As (0.000, 0.500, 0.500)
Cl (0.500, 0.500, 0.000)
Zr (0.500, 0.000, 0.500)

## Properties
energy above the most stable polymorph in this dataset = 373.5 meV per atom
space group = No. 123
calculated total energy = -21.13 eV per cell
uncorrected formation energy = -0.3589 eV per atom

***

(4)
Here is CaCuAg2 after structural relaxation from Alexandria. Energies are from PBE.

abc: 4.553 4.553 5.456
angles: 64.94 64.94 60.44
Fractional coordinates of all 4 atoms:
Cu (0.302, 0.302, 0.095)
Ca (0.505, 0.505, 0.482)
Ag (0.975, 0.975, 0.077)
Ag (0.718, 0.718, 0.846)

## Properties
energy above the most stable polymorph in this dataset = 0.0 meV per atom
space group = No. 8
calculated total energy = -12.22 eV per cell

***

(5)
Here is TaCr7 after structural relaxation from Alexandria. Energies are from PBE.

abc: 5.258 5.258 5.258
angles: 60.00 60.00 60.00
Site moments in Bohr magnetons follow the coordinates.
Fractional coordinates of all 8 atoms:
Cr (0.500, 0.000, 0.000)  0.26
Cr (0.000, 0.500, 0.000)  0.26
Cr (0.000, 0.000, 0.500)  0.26
Cr (0.500, 0.500, 0.500)  -0.07
Cr (0.500, 0.500, 0.000)  0.26
Cr (0.000, 0.500, 0.500)  0.26
Cr (0.500, 0.000, 0.500)  0.26
Ta (0.000, 0.000, 0.000)  0.02

## Properties
energy above the most stable polymorph in this dataset = 413.8 meV per atom
space group = No. 225
calculated total energy = -75.48 eV per cell

***

(6)
Here is Mn2HgCl after structural relaxation from Alexandria. Energies are from PBE.

abc: 6.509 6.509 4.684
angles: 89.93 89.93 27.40
Site moments in Bohr magnetons follow the coordinates.
Fractional coordinates of all 4 atoms:
Mn (0.089, 0.089, 0.751)  3.81
Mn (0.764, 0.764, 0.750)  3.73
Hg (0.210, 0.210, 0.250)  -0.04
Cl (0.437, 0.437, 0.749)  0.04

## Properties
energy above the most stable polymorph in this dataset = 12.0 meV per atom
space group = No. 8
calculated total energy = -20.18 eV per cell
uncorrected formation energy = 0.0771 eV per atom

***

(7)
Here is Al2GaMoSe after structural relaxation from Alexandria. Energies are from PBE.

abc: 4.898 4.751 4.898
angles: 90.00 90.00 90.00
Site moments in Bohr magnetons follow the coordinates.
Fractional coordinates of all 5 atoms:
Al (0.500, 0.000, 0.000)  -0.01
Al (0.000, 0.000, 0.500)  0.01
Mo (0.000, 0.500, 0.000)  1.71
Se (0.000, 0.000, 0.000)  -0.04
Ga (0.500, 0.500, 0.500)  -0.02

## Properties
space group = No. 123
calculated total energy = -20.20 eV per cell
uncorrected formation energy = 0.9249 eV per atom

***

(8)
Here is LiNdTe3Pb after structural relaxation from Alexandria. Energies are from PBE.

abc: 4.349 9.380 9.809
angles: 101.47 90.00 90.00
Fractional coordinates of all 12 atoms:
Te (0.750, 0.910, 0.122)
Te (0.250, 0.090, 0.878)
Te (0.750, 0.213, 0.480)
Te (0.750, 0.402, 0.160)
Te (0.250, 0.598, 0.840)
Te (0.250, 0.787, 0.520)
Li (0.750, 0.911, 0.411)
Li (0.250, 0.089, 0.589)
Nd (0.250, 0.171, 0.228)
Nd (0.750, 0.829, 0.772)
Pb (0.250, 0.661, 0.168)
Pb (0.750, 0.339, 0.832)

## Properties
space group = No. 11
calculated total energy = -51.11 eV per cell
uncorrected formation energy = -0.9568 eV per atom

***

(9)
Here is In5Sn2Bi4 after structural relaxation from Alexandria. Energies are from PBE.

abc: 3.397 8.547 11.204
angles: 87.15 90.00 90.00
Fractional coordinates of all 11 atoms:
In (0.000, 0.500, 0.000)
In (0.000, 0.424, 0.280)
In (0.000, 0.576, 0.720)
In (0.000, 0.204, 0.826)
In (0.000, 0.796, 0.174)
Bi (0.500, 0.150, 0.094)
Bi (0.500, 0.850, 0.906)
Bi (0.500, 0.317, 0.561)
Bi (0.500, 0.683, 0.439)
Sn (0.000, 0.931, 0.637)
Sn (0.000, 0.069, 0.363)

## Properties
space group = No. 10
calculated total energy = -36.53 eV per cell

***

(10)
Here is PrSi2IrPd2 after structural relaxation from Alexandria. Energies are from PBE.

abc: 4.577 4.577 5.687
angles: 90.00 90.00 90.00
Fractional coordinates of all 6 atoms:
Pd (0.500, 0.500, 0.747)
Pd (0.500, 0.500, 0.253)
Si (0.500, 0.000, 0.000)
Si (0.000, 0.500, 0.000)
Ir (0.000, 0.000, 0.000)
Pr (0.000, 0.000, 0.500)

## Properties
space group = No. 123
calculated total energy = -37.60 eV per cell
uncorrected formation energy = -0.4546 eV per atom

***

(11)
Here is SrFeSe after structural relaxation from Alexandria. Energies are from PBE.

abc: 5.983 5.983 5.983
angles: 145.55 145.55 49.51
Site moments in Bohr magnetons follow the coordinates.
Fractional coordinates of all 3 atoms:
Sr (0.667, 0.667, 0.000)  -0.07
Se (0.374, 0.374, 0.000)  0.07
Fe (0.959, 0.959, 0.000)  2.83

## Properties
energy above the most stable polymorph in this dataset = 362.4 meV per atom
space group = No. 107
calculated total energy = -14.21 eV per cell
uncorrected formation energy = -0.1949 eV per atom

***

(12)
Here is CaLa4Pm15 after structural relaxation from Alexandria. Energies are from PBE.

abc: 5.213 5.213 25.956
angles: 90.00 90.00 90.00
Fractional coordinates of all 20 atoms:
Pm (0.500, 0.000, 0.699)
Pm (0.000, 0.500, 0.301)
Pm (0.000, 0.500, 0.102)
Pm (0.500, 0.500, 0.199)
Pm (0.000, 0.500, 0.699)
Pm (0.500, 0.000, 0.898)
Pm (0.500, 0.000, 0.102)
Pm (0.000, 0.500, 0.500)
Pm (0.500, 0.500, 0.600)
Pm (0.500, 0.500, 0.801)
Pm (0.500, 0.000, 0.301)
Pm (0.500, 0.500, 0.000)
Pm (0.500, 0.000, 0.500)
Pm (0.000, 0.500, 0.898)
Pm (0.500, 0.500, 0.400)
La (0.000, 0.000, 0.800)
La (0.000, 0.000, 0.600)
La (0.000, 0.000, 0.200)
La (0.000, 0.000, 0.400)
Ca (0.000, 0.000, 0.000)

## Properties
space group = No. 123
calculated total energy = -92.37 eV per cell